[1]
GGA-PBE UNbB, optimized geometry; formation energy = -0.139 eV per atom; space group = Fmmm, No. 69; electronic total energy = -0.697 Ry/atom; crystal system = orthorhombic; energy relative to the lowest polymorph listed for this composition = 0.000 eV per atom
1.0
4.716 0.018 0.000
-2.242 4.148 0.000
-1.237 -2.083 4.660
B U Nb
2 2 2
direct
0.250 0.750 0.500 B
0.750 0.250 0.500 B
0.671 0.329 0.000 U
0.329 0.671 0.000 U
0.831 0.831 0.663 Nb
0.169 0.169 0.337 Nb

***

[2]
GGA-PBE UNbB2, optimized geometry; formation energy = -0.106 eV per atom; space group = R-3m, No. 166; electronic total energy = -0.646 Ry/atom; crystal system = trigonal
1.0
-1.943 1.089 2.422
-0.155 -1.640 2.848
3.873 3.152 3.926
B Nb U
2 1 1
direct
0.260 0.260 0.221 B
0.740 0.740 0.779 B
0.000 0.000 0.000 Nb
0.500 0.500 0.500 U

***

[3]
GGA-PBE UNbB, optimized geometry; formation energy = 0.121 eV per atom; space group = I4mm, No. 107; electronic total energy = -0.678 Ry/atom; crystal system = tetragonal; energy relative to the lowest polymorph listed for this composition = 0.260 eV per atom
1.0
-1.449 0.246 2.704
-1.348 -2.725 -0.475
5.169 -1.013 1.111
U Nb B
1 1 1
direct
0.263 0.263 0.527 U
0.993 0.993 0.985 Nb
0.594 0.594 0.188 B